# BaInRu2 (PBE, relaxed)
# spin magnetization = 0.0 Bohr magnetons per cell
# calculated volume = 28.3 Å³/atom
# formation energy = 1.95 eV per formula unit
# uncorrected energy = -5.316 eV/atom
# symmetry = I-42d (122)
# theoretical density = 6.66 Mg/m³
data_BaInRu2
_chemical_formula_sum 'Ba2 In2 Ru4'
_space_group_name_H-M_alt 'P 1'
_space_group_IT_number 1
_space_group_name_Hall 'P 1'
_cell_length_a 4.892
_cell_length_b 4.892
_cell_length_c 10.076
_cell_angle_alpha 75.95
_cell_angle_beta 75.95
_cell_angle_gamma 90.00
loop_
_atom_site_label
_atom_site_fract_x
_atom_site_fract_y
_atom_site_fract_z
Ru1 0.391 0.125 0.250
Ru2 0.359 0.625 0.250
Ru3 0.375 0.609 0.750
Ru4 0.875 0.641 0.750
Ba1 0.000 0.000 0.000
Ba2 0.750 0.250 0.500
In1 0.500 0.500 0.000
In2 0.250 0.750 0.500